A relaxed Tb2Ho2Bi3 crystal, computed with PBE-GGA.

Geometry as CIF:
```
data_Tb2Ho2Bi3
_cell_length_a 14.256
_cell_length_b 4.422
_cell_length_c 7.496
_cell_angle_alpha 90.00
_cell_angle_beta 98.88
_cell_angle_gamma 90.00
_symmetry_space_group_name_H-M 'C 1 2/m 1'
_symmetry_Int_Tables_number 12
loop_
_symmetry_equiv_pos_as_xyz
'x,y,z'
'-x,-y,-z'
'-x,y,-z'
'x,-y,z'
'x+1/2,y+1/2,z'
'-x+1/2,-y+1/2,-z'
'-x+1/2,y+1/2,-z'
'x+1/2,-y+1/2,z'
loop_
_atom_site_label
_atom_site_type_symbol
_atom_site_fract_x
_atom_site_fract_y
_atom_site_fract_z
_atom_site_occupancy
Tb1 Tb 0.117 0.000 0.390 1
Ho1 Ho 0.123 0.500 0.861 1
Bi1 Bi 0.000 0.000 0.000 1
Bi2 Bi 0.242 0.500 0.248 1
```

Computed properties:
Energy of formation from the pure elements ... -13.288 kcal/mol of atoms
Final energy ... -4.87 eV per atom

---

A relaxed ZnBBr3 crystal, computed with PBE-GGA.

Geometry as CIF:
```
data_ZnBBr3
_cell_length_a 4.748
_cell_length_b 4.748
_cell_length_c 4.748
_cell_angle_alpha 90.00
_cell_angle_beta 90.00
_cell_angle_gamma 90.00
_symmetry_space_group_name_H-M 'P m -3 m'
_symmetry_Int_Tables_number 221
_symmetry_space_group_name_Hall '-P 4 2 3'
loop_
_atom_site_label
_atom_site_type_symbol
_atom_site_fract_x
_atom_site_fract_y
_atom_site_fract_z
_atom_site_occupancy
Zn1 Zn 0.000 0.000 0.000 1
B1 B 0.500 0.500 0.500 1
Br1 Br 0.000 0.500 0.500 1
```

Computed properties:
Energy relative to the lowest polymorph listed for this composition ... 0 meV/atom
Formation energy from raw total energies ... 0.449 eV/atom
Final energy ... -2.15 eV per atom

---

A relaxed Cr3NiPt crystal, computed with PBE-GGA.

Geometry as CIF:
```
data_Cr3NiPt
_cell_length_a 4.398
_cell_length_b 4.398
_cell_length_c 4.398
_cell_angle_alpha 90.00
_cell_angle_beta 90.00
_cell_angle_gamma 90.00
_symmetry_space_group_name_H-M 'P m -3 m'
_symmetry_Int_Tables_number 221
_symmetry_space_group_name_Hall '-P 4 2 3'
loop_
_atom_site_label
_atom_site_type_symbol
_atom_site_fract_x
_atom_site_fract_y
_atom_site_fract_z
_atom_site_occupancy
Cr1 Cr 0.000 0.000 0.500 1
Ni1 Ni 0.000 0.000 0.000 1
Pt1 Pt 0.500 0.500 0.500 1
```

Computed properties:
Energy relative to the lowest polymorph listed for this composition ... 0 meV/atom
Energy of formation from the pure elements ... 24.887 kcal/mol of atoms
Final energy ... -7.06 eV per atom

---

A relaxed CaGa2P2 crystal, computed with PBE-GGA.

Geometry as CIF:
```
data_CaGa2P2
_cell_length_a 7.302
_cell_length_b 7.302
_cell_length_c 3.598
_cell_angle_alpha 90.00
_cell_angle_beta 90.00
_cell_angle_gamma 90.00
_symmetry_space_group_name_H-M 'P 4/m b m'
_symmetry_Int_Tables_number 127
_symmetry_space_group_name_Hall '-P 4 2ab'
loop_
_atom_site_label
_atom_site_type_symbol
_atom_site_fract_x
_atom_site_fract_y
_atom_site_fract_z
_atom_site_occupancy
Ca1 Ca 0.000 0.000 0.000 1
Ga1 Ga 0.143 0.357 0.500 1
P1 P 0.147 0.647 0.000 1
```

Computed properties:
Energy relative to the lowest polymorph listed for this composition ... 489 meV/atom
Energy of formation from the pure elements ... -4.346 kcal/mol of atoms
Final energy ... -3.96 eV per atom

---

A relaxed Pm3Y2Se8 crystal, computed with PBE-GGA.

Geometry as CIF:
```
data_Pm3Y2Se8
_cell_length_a 14.480
_cell_length_b 8.374
_cell_length_c 7.121
_cell_angle_alpha 90.00
_cell_angle_beta 109.86
_cell_angle_gamma 90.00
_symmetry_space_group_name_H-M 'C 1 2/m 1'
_symmetry_Int_Tables_number 12
loop_
_symmetry_equiv_pos_as_xyz
'x,y,z'
'-x,-y,-z'
'-x,y,-z'
'x,-y,z'
'x+1/2,y+1/2,z'
'-x+1/2,-y+1/2,-z'
'-x+1/2,y+1/2,-z'
'x+1/2,-y+1/2,z'
loop_
_atom_site_label
_atom_site_type_symbol
_atom_site_fract_x
_atom_site_fract_y
_atom_site_fract_z
_atom_site_occupancy
Pm1 Pm 0.000 0.000 0.000 1
Pm2 Pm 0.000 0.262 0.500 1
Y1 Y 0.242 0.500 0.160 1
Se1 Se 0.120 0.500 0.397 1
Se2 Se 0.122 0.000 0.430 1
Se3 Se 0.127 0.239 0.917 1
```

Computed properties:
Formation energy from raw total energies ... -1.685 eV/atom
Final energy ... -5.92 eV per atom

---

A relaxed Li2U3P4O20 crystal, computed with PBE-GGA.

Geometry as CIF:
```
data_Li2U3P4O20
_cell_length_a 5.428
_cell_length_b 6.807
_cell_length_c 12.697
_cell_angle_alpha 95.27
_cell_angle_beta 99.11
_cell_angle_gamma 111.00
_symmetry_space_group_name_H-M 'P -1'
_symmetry_Int_Tables_number 2
loop_
_symmetry_equiv_pos_as_xyz
'x,y,z'
'-x,-y,-z'
loop_
_atom_site_label
_atom_site_type_symbol
_atom_site_fract_x
_atom_site_fract_y
_atom_site_fract_z
_atom_site_occupancy
Li1 Li 0.112 0.068 0.311 1
U1 U 0.382 0.841 0.131 1
U2 U 0.500 0.500 0.500 1
P1 P 0.021 0.424 0.685 1
P2 P 0.492 0.329 0.143 1
O1 O 0.045 0.746 0.053 1
O2 O 0.131 0.446 0.368 1
O3 O 0.174 0.780 0.285 1
O4 O 0.194 0.571 0.798 1
O5 O 0.211 0.382 0.617 1
O6 O 0.277 0.049 0.787 1
O7 O 0.340 0.167 0.209 1
O8 O 0.395 0.509 0.129 1
O9 O 0.429 0.221 0.452 1
O10 O 0.490 0.191 0.039 1
```

Computed properties:
Formation energy from raw total energies ... -2.598 eV/atom
Final energy ... -8.06 eV per atom